[1]
{"formula": "Li3TlAu2", "functional": "PBE", "state": "optimized geometry", "lattice": [[3.277, 0.000, 0.000], [0.000, 3.277, 0.000], [0.000, 0.000, 9.543]], "species": ["Li", "Li", "Li", "Tl", "Au", "Au"], "frac_coords": [[0.000, 0.000, 0.000], [0.000, 0.000, 0.302], [0.000, 0.000, 0.698], [0.500, 0.500, 0.500], [0.500, 0.500, 0.157], [0.500, 0.500, 0.843]], "delta_e_f_ev_per_atom": -0.44, "e_tot_ev_per_atom": -2.89, "n_ef_per_ev_fu": 1.20}



[2]
{"formula": "Li12Tl3Au", "functional": "PBE", "state": "optimized geometry", "lattice": [[4.122, 0.000, 0.000], [0.000, 4.122, 0.000], [0.000, 0.000, 17.201]], "species": ["Li", "Li", "Li", "Li", "Li", "Li", "Li", "Li", "Li", "Li", "Li", "Li", "Tl", "Tl", "Tl", "Au"], "frac_coords": [[0.000, 0.000, 0.000], [0.000, 0.000, 0.239], [0.000, 0.000, 0.500], [0.000, 0.000, 0.761], [0.000, 0.500, 0.110], [0.000, 0.500, 0.369], [0.000, 0.500, 0.631], [0.000, 0.500, 0.890], [0.500, 0.000, 0.110], [0.500, 0.000, 0.369], [0.500, 0.000, 0.631], [0.500, 0.000, 0.890], [0.500, 0.500, 0.241], [0.500, 0.500, 0.500], [0.500, 0.500, 0.759], [0.500, 0.500, 0.000]], "delta_e_f_ev_per_atom": -0.23, "e_tot_ev_per_atom": -2.32, "n_ef_per_ev_fu": 6.48}



[3]
{"formula": "Li11Tl9Au4", "functional": "PBE", "state": "optimized geometry", "lattice": [[6.732, -10.712, 0.000], [6.732, 10.712, 0.000], [0.000, 0.000, 3.346]], "species": ["Li", "Li", "Li", "Li", "Li", "Li", "Li", "Li", "Li", "Li", "Li", "Tl", "Tl", "Tl", "Tl", "Tl", "Tl", "Tl", "Tl", "Tl", "Au", "Au", "Au", "Au"], "frac_coords": [[0.000, 0.000, 0.000], [0.069, 0.407, 0.000], [0.165, 0.835, 0.000], [0.299, 0.299, 0.000], [0.367, 0.633, 0.000], [0.407, 0.069, 0.000], [0.593, 0.931, 0.000], [0.633, 0.367, 0.000], [0.701, 0.701, 0.000], [0.835, 0.165, 0.000], [0.931, 0.593, 0.000], [0.054, 0.208, 0.500], [0.140, 0.621, 0.500], [0.208, 0.054, 0.500], [0.379, 0.860, 0.500], [0.500, 0.500, 0.500], [0.621, 0.140, 0.500], [0.792, 0.946, 0.500], [0.860, 0.379, 0.500], [0.946, 0.792, 0.500], [0.249, 0.449, 0.500], [0.449, 0.249, 0.500], [0.551, 0.751, 0.500], [0.751, 0.551, 0.500]], "delta_e_f_ev_per_atom": -0.31, "e_tot_ev_per_atom": -2.62, "n_ef_per_ev_fu": 4.37}



[4]
{"formula": "Li2TlAu", "functional": "PBE", "state": "optimized geometry", "lattice": [[-2.072, 2.127, 4.109], [2.072, -2.127, 4.109], [2.072, 2.127, -4.109]], "species": ["Li", "Li", "Tl", "Au"], "frac_coords": [[0.000, 0.000, 0.000], [0.751, 0.251, 0.500], [0.251, 0.751, 0.500], [0.504, 0.504, 0.000]], "delta_e_f_ev_per_atom": -0.37, "e_tot_ev_per_atom": -2.73, "polymorph_energy_mev_per_atom": 35, "n_ef_per_ev_fu": 0.91}



Number 2 is which compound?
Li12Tl3Au



Number 1 is which compound?
Li3TlAu2